LiSiP, PBEsol geometry, DFT SCAN; M_tot = 0.072 μB per atom; space-group type = F-43m; uncorrected energy = -87.4 eV/cell; E above lowest polymorph = 324 meV per atom; uncorrected formation energy = 0.32 eV per atom
1.0
5.891 0.000 0.000
0.000 5.891 0.000
0.000 0.000 5.891
Li Si P
4 4 4
direct
0.000 0.000 0.000
0.000 0.500 0.500
0.500 0.000 0.500
0.500 0.500 0.000
0.250 0.250 0.750
0.250 0.750 0.250
0.750 0.250 0.250
0.750 0.750 0.750
0.000 0.000 0.500
0.000 0.500 0.000
0.500 0.000 0.000
0.500 0.500 0.500